# 1
Computed, not measured: LaSbPt4 after structural relaxation at the GGA-PBE level of DFT.

Calculated values
- calculated volume (Å³ per cell) = 240.45
- formation energy (no corrections) (meV/atom) = -603.1
- relative energy among the computed polymorphs (meV per atom) = 92
- Fermi-level density of states (states/eV per atom) = 0.73

Cell: 7.9063 4.1514 7.3260 Å, 90.00 90.00 90.00°
Fractional positions:
La 0.2500 0.0000 0.1536
La 0.7500 0.0000 0.8464
Sb 0.2500 0.0000 0.7331
Sb 0.7500 0.0000 0.2669
Pt 0.0000 0.0000 0.5000
Pt 0.0283 0.5000 0.8103
Pt 0.2500 0.5000 0.4618
Pt 0.4717 0.5000 0.8103
Pt 0.5000 0.0000 0.5000
Pt 0.5283 0.5000 0.1897
Pt 0.7500 0.5000 0.5382
Pt 0.9717 0.5000 0.1897

# 2
Computed, not measured: LaSb2Pt after structural relaxation at the GGA-PBE level of DFT.

Calculated values
- calculated volume (Å³ per cell) = 97.70
- formation energy (no corrections) (meV/atom) = -640.6
- Fermi-level density of states (states/eV per atom) = 0.61

Cell: 4.7398 4.7398 4.3487 Å, 90.00 90.00 90.00°
Fractional positions:
La 0.0000 0.0000 0.0000
Sb 0.0000 0.5000 0.5000
Sb 0.5000 0.0000 0.5000
Pt 0.5000 0.5000 0.0000

# 3
Computed, not measured: LaSbPt2 after structural relaxation at the GGA-PBE level of DFT.

Calculated values
- calculated volume (Å³ per cell) = 88.97
- formation energy (no corrections) (meV/atom) = -637.9
- Fermi-level density of states (states/eV per atom) = 0.54

Cell: 3.6648 3.6648 6.6240 Å, 90.00 90.00 90.00°
Fractional positions:
La 0.0000 0.0000 0.0000
Sb 0.0000 0.0000 0.5000
Pt 0.5000 0.5000 0.2760
Pt 0.5000 0.5000 0.7240

# 4
Computed, not measured: La3SbPt8 after structural relaxation at the GGA-PBE level of DFT.

Calculated values
- calculated volume (Å³ per cell) = 244.14
- formation energy (no corrections) (meV/atom) = -944.7
- Fermi-level density of states (states/eV per atom) = 0.53

Cell: 9.5810 9.5810 9.5810 Å, 33.92 33.92 33.92°
Fractional positions:
La 0.0000 0.0000 0.0000
La 0.1320 0.1320 0.1320
La 0.5238 0.5238 0.5238
Sb 0.6591 0.6591 0.6591
Pt 0.0719 0.0719 0.5646
Pt 0.0719 0.5646 0.0719
Pt 0.0830 0.5701 0.5701
Pt 0.3199 0.3199 0.3199
Pt 0.5646 0.0719 0.0719
Pt 0.5701 0.0830 0.5701
Pt 0.5701 0.5701 0.0830
Pt 0.8219 0.8219 0.8219

# 5
Computed, not measured: LaSb2Pt after structural relaxation at the GGA-PBE level of DFT.

Calculated values
- calculated volume (Å³ per cell) = 108.19
- formation energy (no corrections) (meV/atom) = -771.7
- Fermi-level density of states (states/eV per atom) = 0.52

Cell: 4.6343 4.3634 5.5294 Å, 90.00 104.62 90.00°
Fractional positions:
La 0.0000 0.0000 0.0000
Sb 0.3409 0.5000 0.7273
Sb 0.6591 0.5000 0.2727
Pt 0.5000 0.0000 0.5000

# 6
Computed, not measured: LaSbPt2 after structural relaxation at the GGA-PBE level of DFT.

Calculated values
- calculated volume (Å³ per cell) = 95.43
- formation energy (no corrections) (meV/atom) = -724.9
- Fermi-level density of states (states/eV per atom) = 0.36

Cell: 3.9890 3.9890 5.9971 Å, 90.00 90.00 90.00°
Fractional positions:
La 0.0000 0.0000 0.0000
Sb 0.5000 0.5000 0.5907
Pt 0.0000 0.0000 0.5273
Pt 0.5000 0.5000 0.1460

# 7
Computed, not measured: La2SbPt after structural relaxation at the GGA-PBE level of DFT.

Calculated values
- calculated volume (Å³ per cell) = 400.99
- formation energy (no corrections) (meV/atom) = -761.6
- Fermi-level density of states (states/eV per atom) = 0.74

Cell: 4.4828 4.4828 23.0407 Å, 90.00 90.00 120.00°
Fractional positions:
La 0.0000 0.0000 0.0000
La 0.0000 0.0000 0.1802
La 0.3333 0.6667 0.6667
La 0.3333 0.6667 0.8469
La 0.6667 0.3333 0.3333
La 0.6667 0.3333 0.5135
Sb 0.0000 0.0000 0.7473
Sb 0.3333 0.6667 0.4139
Sb 0.6667 0.3333 0.0806
Pt 0.0000 0.0000 0.4461
Pt 0.3333 0.6667 0.1127
Pt 0.6667 0.3333 0.7794

# 8
Computed, not measured: LaSbPt2 after structural relaxation at the GGA-PBE level of DFT.

Calculated values
- calculated volume (Å³ per cell) = 444.76
- formation energy (no corrections) (meV/atom) = -679.4
- Fermi-level density of states (states/eV per atom) = 0.03

Cell: 5.2355 5.2355 16.2258 Å, 90.00 90.00 90.00°
Fractional positions:
La 0.0000 0.0000 0.0000
La 0.0000 0.5000 0.2500
La 0.5000 0.0000 0.7500
La 0.5000 0.5000 0.5000
Sb 0.0000 0.0000 0.5000
Sb 0.0000 0.5000 0.7500
Sb 0.5000 0.0000 0.2500
Sb 0.5000 0.5000 0.0000
Pt 0.1723 0.2500 0.6250
Pt 0.2500 0.6723 0.8750
Pt 0.2500 0.8277 0.3750
Pt 0.3277 0.2500 0.1250
Pt 0.6723 0.7500 0.1250
Pt 0.7500 0.1723 0.3750
Pt 0.7500 0.3277 0.8750
Pt 0.8277 0.7500 0.6250

# 9
Computed, not measured: LaSb2Pt after structural relaxation at the GGA-PBE level of DFT.

Calculated values
- calculated volume (Å³ per cell) = 98.30
- formation energy (no corrections) (meV/atom) = -385.3
- Fermi-level density of states (states/eV per atom) = 0.92

Cell: 3.6852 3.6852 7.2380 Å, 90.00 90.00 90.00°
Fractional positions:
La 0.0000 0.0000 0.0000
Sb 0.5000 0.5000 0.3031
Sb 0.5000 0.5000 0.6969
Pt 0.0000 0.0000 0.5000

# 10
Computed, not measured: LaSbPt2 after structural relaxation at the GGA-PBE level of DFT.

Calculated values
- calculated volume (Å³ per cell) = 94.83
- formation energy (no corrections) (meV/atom) = -714.4
- Fermi-level density of states (states/eV per atom) = 0.39

Cell: 4.1187 4.1126 5.7139 Å, 90.00 101.55 90.00°
Fractional positions:
La 0.0000 0.0000 0.0000
Sb 0.5000 0.5000 0.5000
Pt 0.0000 0.0000 0.5000
Pt 0.5000 0.5000 0.0000

# 11
Computed, not measured: LaSbPt after structural relaxation at the GGA-PBE level of DFT.

Calculated values
- calculated volume (Å³ per cell) = 77.26
- formation energy (no corrections) (meV/atom) = -1187.7
- Fermi-level density of states (states/eV per atom) = 0.45

Cell: 4.5873 4.5873 4.2397 Å, 90.00 90.00 120.00°
Fractional positions:
La 0.0000 0.0000 0.0000
Sb 0.6667 0.3333 0.5110
Pt 0.3333 0.6667 0.4528

# 12
Computed, not measured: LaSb2Pt after structural relaxation at the GGA-PBE level of DFT.

Calculated values
- calculated volume (Å³ per cell) = 208.35
- formation energy (no corrections) (meV/atom) = -555.8
- Fermi-level density of states (states/eV per atom) = 0.48

Cell: 4.4444 6.2771 7.4684 Å, 90.00 90.00 90.00°
Fractional positions:
La 0.0000 0.0000 0.0000
La 0.5000 0.5000 0.0000
Sb 0.0000 0.5000 0.2931
Sb 0.0000 0.5000 0.7069
Sb 0.5000 0.0000 0.2931
Sb 0.5000 0.0000 0.7069
Pt 0.0000 0.0000 0.5000
Pt 0.5000 0.5000 0.5000

# 13
Computed, not measured: LaSbPt2 after structural relaxation at the GGA-PBE level of DFT.

Calculated values
- calculated volume (Å³ per cell) = 361.47
- formation energy (no corrections) (meV/atom) = -953.4
- Fermi-level density of states (states/eV per atom) = 0.28

Cell: 8.0316 7.0582 6.3763 Å, 90.00 90.00 90.00°
Fractional positions:
La 0.0282 0.2500 0.1637
La 0.4718 0.7500 0.6637
La 0.5282 0.2500 0.3363
La 0.9718 0.7500 0.8363
Sb 0.1039 0.7500 0.3374
Sb 0.3961 0.2500 0.8374
Sb 0.6039 0.7500 0.1626
Sb 0.8961 0.2500 0.6626
Pt 0.2048 0.0483 0.5578
Pt 0.2048 0.4517 0.5578
Pt 0.2952 0.5483 0.0578
Pt 0.2952 0.9517 0.0578
Pt 0.7048 0.0483 0.9422
Pt 0.7048 0.4517 0.9422
Pt 0.7952 0.5483 0.4422
Pt 0.7952 0.9517 0.4422

# 14
Computed, not measured: La2SbPt after structural relaxation at the GGA-PBE level of DFT.

Calculated values
- calculated volume (Å³ per cell) = 109.42
- formation energy (no corrections) (meV/atom) = -1023.1
- Fermi-level density of states (states/eV per atom) = 0.48

Cell: 3.6171 3.9565 7.6462 Å, 90.00 90.00 90.00°
Fractional positions:
La 0.0000 0.0000 0.2290
La 0.0000 0.0000 0.7710
Sb 0.5000 0.5000 0.5000
Pt 0.5000 0.5000 0.0000

# 15
Computed, not measured: LaSb2Pt after structural relaxation at the GGA-PBE level of DFT.

Calculated values
- calculated volume (Å³ per cell) = 312.26
- formation energy (no corrections) (meV/atom) = -675.5
- Fermi-level density of states (states/eV per atom) = 0.74

Cell: 4.4483 4.4483 18.2227 Å, 90.00 90.00 120.00°
Fractional positions:
La 0.0000 0.0000 0.0000
La 0.3333 0.6667 0.6667
La 0.6667 0.3333 0.3333
Sb 0.0000 0.0000 0.2299
Sb 0.0000 0.0000 0.7701
Sb 0.3333 0.6667 0.4368
Sb 0.3333 0.6667 0.8966
Sb 0.6667 0.3333 0.1034
Sb 0.6667 0.3333 0.5632
Pt 0.0000 0.0000 0.5000
Pt 0.3333 0.6667 0.1667
Pt 0.6667 0.3333 0.8333

# 16
Computed, not measured: La4SbPt after structural relaxation at the GGA-PBE level of DFT.

Calculated values
- calculated volume (Å³ per cell) = 176.63
- formation energy (no corrections) (meV/atom) = 19.5
- relative energy among the computed polymorphs (meV per atom) = 821
- Fermi-level density of states (states/eV per atom) = 1.33

Cell: 6.2978 6.2978 6.2978 Å, 60.00 60.00 60.00°
Fractional positions:
La 0.3759 0.3759 0.3759
La 0.3759 0.3759 0.8722
La 0.3759 0.8722 0.3759
La 0.8722 0.3759 0.3759
Sb 0.7500 0.7500 0.7500
Pt 0.0000 0.0000 0.0000

# 17
Computed, not measured: LaSbPt3 after structural relaxation at the GGA-PBE level of DFT.

Calculated values
- calculated volume (Å³ per cell) = 142.35
- formation energy (no corrections) (meV/atom) = 780.3
- relative energy among the computed polymorphs (meV per atom) = 1486
- Fermi-level density of states (states/eV per atom) = 0.60

Cell: 5.2214 5.2214 5.2214 Å, 90.00 90.00 90.00°
Fractional positions:
La 0.0000 0.0000 0.0000
Sb 0.5000 0.5000 0.5000
Pt 0.0000 0.0000 0.5000
Pt 0.0000 0.5000 0.0000
Pt 0.5000 0.0000 0.0000

# 18
Computed, not measured: LaSb2Pt after structural relaxation at the GGA-PBE level of DFT.

Calculated values
- calculated volume (Å³ per cell) = 406.07
- formation energy (no corrections) (meV/atom) = -476.9
- Fermi-level density of states (states/eV per atom) = 0.48

Cell: 7.4051 7.4051 7.4051 Å, 90.00 90.00 90.00°
Fractional positions:
La 0.0000 0.0000 0.0000
La 0.0000 0.5000 0.5000
La 0.5000 0.0000 0.5000
La 0.5000 0.5000 0.0000
Sb 0.0000 0.0000 0.5000
Sb 0.0000 0.5000 0.0000
Sb 0.2500 0.2500 0.7500
Sb 0.2500 0.7500 0.2500
Sb 0.5000 0.0000 0.0000
Sb 0.5000 0.5000 0.5000
Sb 0.7500 0.2500 0.2500
Sb 0.7500 0.7500 0.7500
Pt 0.2500 0.2500 0.2500
Pt 0.2500 0.7500 0.7500
Pt 0.7500 0.2500 0.7500
Pt 0.7500 0.7500 0.2500

# 19
Computed, not measured: La2ScSb3Pt4 after structural relaxation at the GGA-PBE level of DFT.

Calculated values
- calculated volume (Å³ per cell) = 229.71
- formation energy (no corrections) (meV/atom) = -1011.9
- Fermi-level density of states (states/eV per atom) = 0.31

Cell: 4.5176 4.5176 11.2551 Å, 90.00 90.00 90.00°
Fractional positions:
La 0.0000 0.5000 0.2262
La 0.5000 0.0000 0.7738
Sc 0.0000 0.0000 0.5000
Sb 0.0000 0.5000 0.8672
Sb 0.5000 0.0000 0.1328
Sb 0.5000 0.5000 0.5000
Pt 0.0000 0.0000 0.0000
Pt 0.0000 0.5000 0.6346
Pt 0.5000 0.0000 0.3654
Pt 0.5000 0.5000 0.0000

# 20
Computed, not measured: LaScSb2Pt after structural relaxation at the GGA-PBE level of DFT.

Calculated values
- calculated volume (Å³ per cell) = 182.58
- formation energy (no corrections) (meV/atom) = 1219.7
- Fermi-level density of states (states/eV per atom) = 0.98

Cell: 5.8217 5.8217 5.3869 Å, 90.00 90.00 90.00°
Fractional positions:
La 0.0000 0.0000 0.0000
Sc 0.0000 0.0000 0.5000
Sb 0.0000 0.5000 0.0000
Sb 0.5000 0.0000 0.0000
Pt 0.5000 0.5000 0.5000

# 21
Computed, not measured: LaSi2Sb2Pt7 after structural relaxation at the GGA-PBE level of DFT.

Calculated values
- calculated volume (Å³ per cell) = 242.88
- formation energy (no corrections) (meV/atom) = -626.1
- Fermi-level density of states (states/eV per atom) = 0.38

Cell: 15.5332 15.5332 15.5332 Å, 165.25 165.25 20.92°
Fractional positions:
La 0.0000 0.0000 0.0000
Si 0.3783 0.3783 0.0000
Si 0.6217 0.6217 0.0000
Sb 0.2116 0.2116 0.0000
Sb 0.7884 0.7884 0.0000
Pt 0.0776 0.5776 0.5000
Pt 0.3014 0.3014 0.0000
Pt 0.4224 0.9224 0.5000
Pt 0.5000 0.5000 0.0000
Pt 0.5776 0.0776 0.5000
Pt 0.6986 0.6986 0.0000
Pt 0.9224 0.4224 0.5000

# 22
Computed, not measured: La2SiSbPt6 after structural relaxation at the GGA-PBE level of DFT.

Calculated values
- calculated volume (Å³ per cell) = 425.11
- formation energy (no corrections) (meV/atom) = -966.1
- Fermi-level density of states (states/eV per atom) = 0.35

Cell: 5.6107 8.6700 8.7390 Å, 90.00 90.00 90.00°
Fractional positions:
La 0.2500 0.0041 0.2343
La 0.2500 0.4959 0.2343
La 0.7500 0.5041 0.7657
La 0.7500 0.9959 0.7657
Si 0.2500 0.7500 0.7418
Si 0.7500 0.2500 0.2582
Sb 0.2500 0.2500 0.7817
Sb 0.7500 0.7500 0.2183
Pt 0.0025 0.2500 0.4924
Pt 0.0066 0.7500 0.9654
Pt 0.2500 0.5007 0.6089
Pt 0.2500 0.9993 0.6089
Pt 0.4934 0.7500 0.9654
Pt 0.4975 0.2500 0.4924
Pt 0.5025 0.7500 0.5076
Pt 0.5065 0.2500 0.0346
Pt 0.7500 0.0007 0.3911
Pt 0.7500 0.4993 0.3911
Pt 0.9934 0.2500 0.0346
Pt 0.9975 0.7500 0.5076

# 23
Computed, not measured: La2TbSb3Pt4 after structural relaxation at the GGA-PBE level of DFT.

Calculated values
- calculated volume (Å³ per cell) = 239.30
- formation energy (no corrections) (meV/atom) = -999.6
- Fermi-level density of states (states/eV per atom) = 0.34

Cell: 4.5845 4.5845 11.3855 Å, 90.00 90.00 90.00°
Fractional positions:
La 0.0000 0.5000 0.2152
La 0.5000 0.0000 0.7848
Tb 0.0000 0.0000 0.5000
Sb 0.0000 0.5000 0.8718
Sb 0.5000 0.0000 0.1282
Sb 0.5000 0.5000 0.5000
Pt 0.0000 0.0000 0.0000
Pt 0.0000 0.5000 0.6429
Pt 0.5000 0.0000 0.3571
Pt 0.5000 0.5000 0.0000

# 24
Computed, not measured: LaTcSb2Pt after structural relaxation at the GGA-PBE level of DFT.

Calculated values
- calculated volume (Å³ per cell) = 137.07
- formation energy (no corrections) (meV/atom) = 308.9
- Fermi-level density of states (states/eV per atom) = 1.17

Cell: 5.2992 5.2992 4.8813 Å, 90.00 90.00 90.00°
Fractional positions:
La 0.0000 0.0000 0.0000
Tc 0.5000 0.5000 0.0000
Sb 0.0000 0.5000 0.5000
Sb 0.5000 0.0000 0.5000
Pt 0.5000 0.5000 0.5000

# 25
Computed, not measured: LaSbTe2Pt after structural relaxation at the GGA-PBE level of DFT.

Calculated values
- calculated volume (Å³ per cell) = 152.16
- formation energy (no corrections) (meV/atom) = -456.8
- relative energy among the computed polymorphs (meV per atom) = 0
- Fermi-level density of states (states/eV per atom) = 0.57

Cell: 5.4447 5.4447 5.1327 Å, 90.00 90.00 90.00°
Fractional positions:
La 0.0000 0.0000 0.0000
Sb 0.5000 0.5000 0.0000
Te 0.0000 0.5000 0.5000
Te 0.5000 0.0000 0.5000
Pt 0.5000 0.5000 0.5000

# 26
Computed, not measured: LaSb2TePt after structural relaxation at the GGA-PBE level of DFT.

Calculated values
- calculated volume (Å³ per cell) = 150.55
- formation energy (no corrections) (meV/atom) = -350.0
- relative energy among the computed polymorphs (meV per atom) = 0
- Fermi-level density of states (states/eV per atom) = 0.76

Cell: 5.2349 5.2349 5.4938 Å, 90.00 90.00 90.00°
Fractional positions:
La 0.0000 0.0000 0.0000
Sb 0.0000 0.5000 0.5000
Sb 0.5000 0.0000 0.5000
Te 0.5000 0.5000 0.0000
Pt 0.5000 0.5000 0.5000